# 1
Computed, not measured: YPd3Rh after structural relaxation at the PBE level of DFT.

Cell and atoms, written as POSCAR:
```
YPd3Rh
1.0
-1.051 -4.807 -0.114
4.276 -0.881 -2.272
2.199 -0.584 4.364
Y Rh Pd
1 1 3
Cartesian
0.000 0.000 0.000 Y
2.712 -3.136 0.989 Rh
2.138 -0.440 -1.136 Pd
1.099 -0.292 2.182 Pd
-0.525 -2.403 -0.057 Pd
```

Values from the calculation:
Energy above the most stable polymorph in this dataset (meV/atom): 651.1
Space-group type: Pm-3m (221)



# 2
Computed, not measured: Y4PdRh3 after structural relaxation at the PBE level of DFT.

Cell and atoms, written as POSCAR:
```
Y4PdRh3
1.0
-1.880 -4.183 -1.597
4.104 -3.540 4.438
-6.916 0.511 6.804
Y Rh Pd
8 6 2
Cartesian
2.150 -4.756 2.543 Y
-1.308 -4.501 5.945 Y
0.074 -2.966 0.298 Y
-3.384 -2.710 3.700 Y
-3.977 -6.464 6.847 Y
1.361 -2.537 5.042 Y
-0.715 -0.747 2.798 Y
-6.053 -4.674 4.603 Y
0.000 0.000 0.000 Rh
-3.458 0.256 3.402 Rh
-6.127 -1.707 4.305 Rh
-2.670 -1.965 0.902 Rh
-4.075 -3.477 6.524 Rh
-0.617 -3.734 3.121 Rh
2.052 -1.770 2.219 Pd
-1.406 -1.514 5.621 Pd
```

Values from the calculation:
Space-group type: P4/mmm (123)



# 3
Computed, not measured: Y8PdRh2 after structural relaxation at the PBE level of DFT.

Cell and atoms, written as POSCAR:
```
Y8PdRh2
1.0
-5.466 -1.405 -2.052
4.155 -4.968 -3.913
-0.817 -1.953 7.264
Y Pd Rh
8 1 2
Cartesian
-1.832 -2.682 -1.949 Y
-3.132 -1.893 0.975 Y
0.307 -2.778 0.886 Y
-5.110 -4.015 2.777 Y
-2.332 -5.699 -3.467 Y
-2.271 -5.538 0.484 Y
1.207 -6.436 0.416 Y
-0.093 -5.648 3.339 Y
-0.768 -0.223 -0.281 Pd
-0.043 -4.747 -1.425 Rh
-1.924 -3.606 2.804 Rh
```

Values from the calculation:
Space-group type: Cm (8)



# 4
Computed, not measured: Y2PdRh after structural relaxation at the PBE level of DFT.

Cell and atoms, written as POSCAR:
```
Y2PdRh
1.0
7.484 0.000 0.000
0.000 7.484 0.000
3.742 3.742 3.215
Y Rh Pd
4 2 2
Cartesian
5.539 1.871 0.804 Y
1.945 5.613 0.804 Y
5.613 5.687 2.412 Y
9.355 9.280 2.412 Y
3.742 3.742 0.000 Rh
3.742 7.484 1.608 Rh
0.000 0.000 0.000 Pd
7.484 3.742 1.608 Pd
```

Values from the calculation:
Space-group type: I-42d (122)



# 5
Computed, not measured: YPdRh3 after structural relaxation at the PBE level of DFT.

Cell and atoms, written as POSCAR:
```
YPdRh3
1.0
4.848 0.000 0.000
0.000 4.848 0.000
0.000 0.000 4.848
Y Rh Pd
1 3 1
Cartesian
0.000 0.000 0.000 Y
0.000 2.424 0.000 Rh
0.000 0.000 2.424 Rh
2.424 0.000 0.000 Rh
2.424 2.424 2.424 Pd
```

Values from the calculation:
Energy above the most stable polymorph in this dataset (meV/atom): 657.0
Space-group type: Pm-3m (221)



# 6
Computed, not measured: YPdRh2 after structural relaxation at the PBE level of DFT.

Cell and atoms, written as POSCAR:
```
YPdRh2
1.0
0.000 3.259 3.259
3.259 0.000 3.259
3.259 3.259 0.000
Y Rh Pd
1 2 1
Cartesian
0.000 0.000 0.000 Y
1.630 1.630 1.630 Rh
4.889 4.889 4.889 Rh
3.259 3.259 3.259 Pd
```

Values from the calculation:
Space-group type: Fm-3m (225)



# 7
Computed, not measured: Y2Zn5PdRh2 after structural relaxation at the PBE level of DFT.

Cell and atoms, written as POSCAR:
```
Y2Zn5PdRh2
1.0
3.905 0.000 0.000
0.000 9.501 0.000
0.000 0.000 9.501
Y Zn Pd Rh
4 10 2 4
Cartesian
0.000 6.439 1.688 Y
0.000 3.063 7.813 Y
0.000 1.688 3.063 Y
0.000 7.813 6.439 Y
1.952 1.860 0.527 Zn
1.952 7.641 8.974 Zn
1.952 0.527 7.641 Zn
1.952 6.611 4.224 Zn
1.952 8.974 1.860 Zn
1.952 2.891 5.278 Zn
1.952 5.278 6.611 Zn
1.952 4.224 2.891 Zn
1.952 4.751 0.000 Zn
1.952 0.000 4.751 Zn
0.000 0.000 0.000 Pd
0.000 4.751 4.751 Pd
0.000 1.164 5.915 Rh
0.000 8.337 3.586 Rh
0.000 5.915 8.337 Rh
0.000 3.586 1.164 Rh
```

Values from the calculation:
Space-group type: P4/mbm (127)



# 8
Computed, not measured: Y2Zn5Pd2Rh after structural relaxation at the PBE level of DFT.

Cell and atoms, written as POSCAR:
```
Y2Zn5Pd2Rh
1.0
-3.302 -0.241 -2.108
4.875 -3.930 -7.185
-1.670 -8.663 3.605
Y Zn Pd Rh
4 10 4 2
Cartesian
3.014 -4.232 -4.237 Y
0.191 -8.361 0.657 Y
0.343 -3.479 -0.140 Y
2.862 -9.113 -3.440 Y
-0.812 -1.329 -2.229 Zn
0.716 -11.505 -3.459 Zn
-2.744 -7.344 1.483 Zn
0.968 -6.704 -4.403 Zn
2.647 -5.489 -7.171 Zn
-1.064 -6.130 -1.285 Zn
-0.107 -8.274 -2.540 Zn
0.010 -4.560 -3.148 Zn
0.787 -2.085 -4.647 Zn
-2.486 -4.452 0.749 Zn
-0.454 -5.826 1.378 Pd
3.659 -6.766 -4.958 Pd
1.545 -10.066 -1.268 Pd
1.661 -2.527 -2.312 Pd
0.000 0.000 0.000 Rh
1.603 -6.296 -1.790 Rh
```

Values from the calculation:
Space-group type: P4/mbm (127)



# 9
Computed, not measured: ZnPdRh2 after structural relaxation at the PBE level of DFT.

Cell and atoms, written as POSCAR:
```
ZnPdRh2
1.0
2.715 0.000 0.000
1.358 2.352 0.000
1.358 0.784 9.464
Zn Rh Pd
1 2 1
Cartesian
2.715 1.568 4.732 Zn
1.358 0.784 6.845 Rh
4.073 2.352 2.619 Rh
0.000 0.000 0.000 Pd
```

Values from the calculation:
Space-group type: R-3m (166)



# 10
Computed, not measured: Zn6Pd5Rh after structural relaxation at the PBE level of DFT.

Cell and atoms, written as POSCAR:
```
Zn6Pd5Rh
1.0
4.141 0.002 -0.861
-0.003 6.382 -0.001
-0.766 0.000 6.651
Zn Rh Pd
6 1 5
Cartesian
2.944 4.802 3.741 Zn
2.945 1.584 3.741 Zn
2.070 1.571 -0.430 Zn
1.303 4.813 6.220 Zn
0.428 4.800 2.048 Zn
0.429 1.582 2.048 Zn
0.000 0.000 0.000 Rh
2.508 3.192 1.658 Pd
0.867 0.001 4.131 Pd
-0.001 3.191 0.000 Pd
2.506 6.383 1.658 Pd
0.864 3.192 4.131 Pd
```

Values from the calculation:
Space-group type: P2/m (10)



# 11
Computed, not measured: Zn2PdRh after structural relaxation at the PBE level of DFT.

Cell and atoms, written as POSCAR:
```
Zn2PdRh
1.0
4.297 0.000 0.000
2.148 3.709 -0.324
2.148 1.545 3.387
Zn Rh Pd
2 1 1
Cartesian
4.297 0.000 0.000 Zn
4.297 2.627 1.532 Zn
6.445 3.940 2.297 Rh
2.148 1.313 0.766 Pd
```

Values from the calculation:
Space-group type: Fm-3m (225)



Sequential N(E_F) output: 1.2182, 0.6122, 1.0537, 0.4087, 2.0232, 1.6939, 0.6188, 0.4599, 2.0805, 0.1849, 0.2412 states/eV per atom
Sequential electronic total energy output: -4.871, -7.493, -6.920, -6.870, -5.396, -6.954, -4.414, -4.199, -5.169, -3.961, -4.285 eV per atom
Sequential formation energy output: 1008, -855, -410, -502, 1346, -364, -495, -496, 124, -548, -512 meV per atom